Entry 1:
Computed, not measured: crystalline PrNd5Sn3 at its relaxed geometry at the PBE level of DFT.

Cell: 9.6679 9.6679 6.7879 Å, 90.00 90.00 120.00°
Closest atoms and distances in Å follow each position.
Space group P6_3/mcm (No. 193)
Asymmetric unit:
Pr1 0.0000 0.0000 0.0000 [2 per cell]  2 Pr 3.39, 6 Nd 3.64, 6 Sn 3.65
Nd1 0.0000 0.3334 0.2500 [6 per cell]  5 Sn 3.22-3.39
Nd2 0.3333 0.6667 0.0000 [4 per cell]  8 Nd 3.39-3.64, 6 Sn 3.64
Sn1 0.0000 0.3339 0.7500 [6 per cell]  5 Nd 3.22-3.39

Computed properties:
The calculation puts the spin magnetization at 2.58 μB per formula unit. The calculation puts the total DFT energy (no corrections) at -91.7 eV per cell. The formation energy is -0.579 eV per atom.

---

Entry 2:
Computed, not measured: crystalline TePPt2 at its relaxed geometry at the PBE level of DFT.

Cell: 3.5315 3.5315 6.0595 Å, 90.00 90.00 90.00°
Closest atoms and distances in Å follow each position.
Space group P4mm (No. 99)
Asymmetric unit:
Te1 0.0000 0.0000 0.0000 [1 per cell]  5 Pt 2.78-2.90
P1 0.5000 0.5000 0.4120 [1 per cell]  5 Pt 2.33-2.58
Pt1 0.0000 0.0000 0.5211 [1 per cell]  4 P 2.58
Pt2 0.5000 0.5000 0.7973 [1 per cell]  1 P 2.33

Computed properties:
The distance to the lowest polymorph of the same formula comes out at 221.0 meV/atom. The calculation puts the spin magnetization at 0.00 μB per formula unit. The calculation puts the total DFT energy (no corrections) at -21.0 eV per cell.

---

Entry 3:
Computed, not measured: crystalline Sm2VAg at its relaxed geometry at the PBE level of DFT.

Cell: 3.2783 3.2783 32.7758 Å, 90.00 90.00 120.00°
Closest atoms and distances in Å follow each position.
Space group R-3m (No. 166, hexagonal axes)
Asymmetric unit:
Sm1 0.0000 0.0000 0.0873 [6 per cell]  1 V 2.86
V1 0.0000 0.0000 0.0000 [3 per cell]  2 Sm 2.86
Ag1 0.0000 0.0000 0.5000 [3 per cell]  6 Sm 3.22, 6 Ag 3.28

Computed properties:
The calculation puts the spin magnetization at 3.13 μB per formula unit. The calculation puts the total DFT energy (no corrections) at -57.0 eV per cell. The formation energy is 0.598 eV per atom.

---

Entry 4:
Computed, not measured: crystalline Th2UAlRu6 at its relaxed geometry at the PBE level of DFT.

Cell: 5.7201 6.3464 6.5022 Å, 82.72 63.91 63.23°
Closest atoms and distances in Å follow each position.
Space group P-1 (No. 2)
Asymmetric unit:
Th1 0.2364 0.2736 0.2541 [2 per cell]  3 Ru 2.60-2.90
U1 0.0000 0.0000 0.0000 [1 per cell]  6 Ru 2.51-2.68
Al1 0.5000 0.5000 0.5000 [1 per cell]  6 Ru 2.51-2.68
Ru1 0.1949 0.2936 0.8150 [2 per cell]  1 U 2.51, 1 Al 2.68, 1 Ru 2.77
Ru2 0.2561 0.9455 0.5393 [2 per cell]  1 Al 2.51, 1 Th 2.60, 1 U 2.68, 3 Ru 2.77-2.82
Ru3 0.3034 0.7060 0.1852 [2 per cell]  1 U 2.51, 1 Al 2.68, 1 Ru 2.77

Computed properties:
The calculation puts the spin magnetization at 0.00 μB per formula unit. The calculation puts the total DFT energy (no corrections) at -88.7 eV per cell. The formation energy is -0.321 eV per atom.

---

Entry 5:
Computed, not measured: crystalline Tl2MoC at its relaxed geometry at the PBE level of DFT.

Cell: 9.6910 9.6910 4.0300 Å, 90.00 90.00 90.00°
Closest atoms and distances in Å follow each position.
Space group I-42d (No. 122)
Asymmetric unit:
Tl1 0.0929 0.2500 0.1250 [8 per cell]  2 C 2.63
Mo1 0.0000 0.0000 0.5000 [4 per cell]  2 C 2.01
C1 0.0000 0.0000 0.0000 [4 per cell]  2 Mo 2.01

Computed properties:
The distance to the lowest polymorph of the same formula comes out at 0.0 meV/atom. The calculation puts the spin magnetization at 1.21 μB per formula unit. The calculation puts the total DFT energy (no corrections) at -80.5 eV per cell. The formation energy is 1.166 eV per atom.

---

Entry 6:
Computed, not measured: crystalline CaHgSe at its relaxed geometry at the PBE level of DFT.

Cell: 7.2347 7.2347 7.2347 Å, 90.00 90.00 90.00°
Closest atoms and distances in Å follow each position.
Space group F-43m (No. 216)
Asymmetric unit:
Ca1 0.0000 0.0000 0.0000 [4 per cell]  4 Se 3.13
Hg1 0.0000 0.0000 0.5000 [4 per cell]  4 Se 3.13
Se1 0.2500 0.2500 0.7500 [4 per cell]  4 Hg 3.13, 4 Ca 3.13

Computed properties:
The distance to the lowest polymorph of the same formula comes out at 260.3 meV/atom. The calculation puts the spin magnetization at 0.00 μB per formula unit. The calculation puts the total DFT energy (no corrections) at -33.2 eV per cell.

---

Entry 7:
Computed, not measured: crystalline ScTaSe2 at its relaxed geometry at the PBE level of DFT.

Cell: 6.7791 6.7791 6.7791 Å, 90.00 90.00 90.00°
Closest atoms and distances in Å follow each position.
Space group F-43m (No. 216)
Asymmetric unit:
Sc1 0.0000 0.0000 0.0000 [4 per cell]  4 Se 2.94, 4 Ta 2.94
Ta1 0.2500 0.2500 0.2500 [4 per cell]  4 Sc 2.94, 4 Se 2.94
Se1 0.0000 0.0000 0.5000 [4 per cell]  4 Ta 2.94, 4 Se 2.94
Se2 0.2500 0.2500 0.7500 [4 per cell]  4 Se 2.94, 4 Sc 2.94

Computed properties:
The distance to the lowest polymorph of the same formula comes out at 1113.0 meV/atom. The calculation puts the spin magnetization at 1.96 μB per formula unit. The calculation puts the total DFT energy (no corrections) at -97.2 eV per cell.

---

Entry 8:
Computed, not measured: crystalline La3Pd5Se12 at its relaxed geometry at the PBE level of DFT.

Cell: 16.0241 16.0241 16.0241 Å, 90.00 90.00 90.00°
Closest atoms and distances in Å follow each position.
Space group Ia-3d (No. 230)
Asymmetric unit:
La1 0.0000 0.2500 0.1250 [24 per cell]  8 Se 3.08-3.14
Pd1 0.0000 0.0000 0.0000 [16 per cell]  6 Se 2.55
Pd2 0.0000 0.2500 0.3750 [24 per cell]  4 Se 2.47
Se1 0.0261 0.0571 0.6462 [96 per cell]  2 Pd 2.47-2.55

Computed properties:
The calculation puts the spin magnetization at 0.00 μB per formula unit. The calculation puts the total DFT energy (no corrections) at -784.9 eV per cell.

---

Entry 9:
Computed, not measured: crystalline Tb7PI12 at its relaxed geometry at the PBE level of DFT.

Cell: 15.7076 15.7076 10.4295 Å, 90.00 90.00 120.00°
Closest atoms and distances in Å follow each position.
Space group R-3 (No. 148, hexagonal axes)
Asymmetric unit:
Tb1 0.0000 0.0000 0.0000 [3 per cell]  6 I 3.08
Tb2 0.0439 0.1573 0.3562 [18 per cell]  1 P 2.67
P1 0.0000 0.0000 0.5000 [3 per cell]  6 Tb 2.67
I1 0.0229 0.5862 0.1639 [18 per cell]  3 Tb 3.08-3.39
I2 0.0510 0.1818 0.8354 [18 per cell]  3 Tb 3.08-3.12

Computed properties:
The calculation puts the spin magnetization at 0.00 μB per formula unit. The calculation puts the total DFT energy (no corrections) at -249.9 eV per cell.

---

Entry 10:
Computed, not measured: crystalline AlIn2Ag at its relaxed geometry at the PBE level of DFT.

Cell: 3.1423 3.1423 8.6830 Å, 90.00 90.00 90.00°
Closest atoms and distances in Å follow each position.
Space group P4/mmm (No. 123)
Asymmetric unit:
Al1 0.0000 0.0000 0.0000 [1 per cell]  4 Al 3.14, 8 In 3.17
In1 0.5000 0.5000 0.2598 [2 per cell]  4 Ag 3.05, 4 In 3.14, 4 Al 3.17
Ag1 0.0000 0.0000 0.5000 [1 per cell]  8 In 3.05, 4 Ag 3.14

Computed properties:
The calculation puts the spin magnetization at 0.00 μB per formula unit. The calculation puts the total DFT energy (no corrections) at -11.6 eV per cell. The formation energy is 0.106 eV per atom.

---

Entry 11:
Computed, not measured: crystalline Li2BeRh at its relaxed geometry at the PBE level of DFT.

Cell: 3.0243 3.6349 4.2142 Å, 90.00 90.00 90.00°
Closest atoms and distances in Å follow each position.
Space group Pmmm (No. 47)
Asymmetric unit:
Li1 0.0000 0.0000 0.0000 [1 per cell]  4 Li 2.36, 4 Rh 2.59
Li2 0.5000 0.5000 0.0000 [1 per cell]  4 Li 2.36, 4 Be 2.59
Be1 0.0000 0.5000 0.5000 [1 per cell]  4 Rh 2.36, 4 Li 2.59
Rh1 0.5000 0.0000 0.5000 [1 per cell]  4 Be 2.36, 4 Li 2.59

Computed properties:
The calculation puts the spin magnetization at 0.00 μB per formula unit. The calculation puts the total DFT energy (no corrections) at -15.9 eV per cell. The formation energy is -0.253 eV per atom.

---

Entry 12:
Computed, not measured: crystalline SrHfN2 at its relaxed geometry at the PBE level of DFT.

Cell: 3.3572 3.3572 17.7569 Å, 90.00 90.00 120.00°
Closest atoms and distances in Å follow each position.
Space group R-3m (No. 166, hexagonal axes)
Asymmetric unit:
Sr1 0.0000 0.0000 0.0000 [3 per cell]  6 N 2.64
Hf1 0.0000 0.0000 0.5000 [3 per cell]  6 N 2.26
N1 0.0000 0.0000 0.2326 [6 per cell]  3 Hf 2.26

Computed properties:
The calculation puts the spin magnetization at 0.00 μB per formula unit. The calculation puts the total DFT energy (no corrections) at -101.5 eV per cell.

---

Entry 13:
Computed, not measured: crystalline La4TbPm8 at its relaxed geometry at the PBE level of DFT.

Cell: 6.4736 6.5042 12.4080 Å, 90.50 97.80 116.42°
Closest atoms and distances in Å follow each position.
Space group P1 (No. 1)
Asymmetric unit:
La1 0.0000 0.0000 0.0000 [1 per cell]  7 Pm 3.48-3.83, 2 La 3.68-3.69
La2 0.1750 0.5822 0.4948 [1 per cell]  2 Tb 3.52-3.69, 2 La 3.66-3.71, 6 Pm 3.67-3.87
La3 0.6223 0.3744 0.9914 [1 per cell]  8 Pm 3.51-3.80, 2 La 3.68-3.69
La4 0.8065 0.9624 0.4993 [1 per cell]  2 Tb 3.47-3.74, 6 Pm 3.57-3.82, 2 La 3.66-3.71
Tb1 0.5573 0.3294 0.5327 [1 per cell]  5 Pm 3.42-3.46, 4 La 3.47-3.74
Pm1 0.1493 0.4884 0.1923 [1 per cell]  7 Pm 3.31-3.55, 1 La 3.64
Pm2 0.1861 0.0079 0.3005 [1 per cell]  6 Pm 3.30-3.55, 1 Tb 3.46, 2 La 3.64-3.67
Pm3 0.2588 0.0160 0.7324 [1 per cell]  1 Tb 3.45, 4 Pm 3.49-3.75, 2 La 3.72-3.77
Pm4 0.3586 0.7446 0.9613 [1 per cell]  5 Pm 3.42-3.49, 4 La 3.48-3.68
Pm5 0.6182 0.7002 0.7452 [1 per cell]  1 Tb 3.42, 5 Pm 3.43-3.75, 4 La 3.60-3.75
Pm6 0.6591 0.0230 0.2100 [1 per cell]  7 Pm 3.31-3.55, 3 La 3.61-3.68
Pm7 0.6869 0.5352 0.2851 [1 per cell]  6 Pm 3.30-3.55, 1 Tb 3.42, 2 La 3.57-3.70
Pm8 0.9401 0.3454 0.7600 [1 per cell]  1 Tb 3.46, 4 Pm 3.48-3.75, 4 La 3.80-3.86

Computed properties:
The calculation puts the spin magnetization at 0.00 μB per formula unit. The calculation puts the total DFT energy (no corrections) at -60.9 eV per cell. The formation energy is 0.108 eV per atom.

---

Entry 14:
Computed, not measured: crystalline PrNdCl2 at its relaxed geometry at the PBE level of DFT.

Cell: 3.6155 3.6155 26.7219 Å, 90.00 90.00 120.00°
Closest atoms and distances in Å follow each position.
Space group R3m (No. 160, hexagonal axes)
Asymmetric unit:
Pr1 0.0000 0.0000 0.0000 [3 per cell]  6 Cl 3.05-3.09
Nd1 0.0000 0.0000 0.1652 [3 per cell]  6 Cl 3.02-3.04
Cl1 0.0000 0.0000 0.5814 [3 per cell]  3 Nd 3.04, 3 Pr 3.09
Cl2 0.0000 0.0000 0.7500 [3 per cell]  3 Nd 3.02, 3 Pr 3.05

Computed properties:
The distance to the lowest polymorph of the same formula comes out at 0.0 meV/atom. The calculation puts the spin magnetization at 0.00 μB per formula unit. The calculation puts the total DFT energy (no corrections) at -56.4 eV per cell.

---

Entry 15:
Computed, not measured: crystalline K3HfBe at its relaxed geometry at the PBE level of DFT.

Cell: 6.2029 6.2029 6.2029 Å, 90.00 90.00 90.00°
Closest atoms and distances in Å follow each position.
Space group Pm-3m (No. 221)
Asymmetric unit:
K1 0.0000 0.0000 0.5000 [3 per cell]  2 Be 3.10
Hf1 0.5000 0.5000 0.5000 [1 per cell]  12 K 4.39
Be1 0.0000 0.0000 0.0000 [1 per cell]  6 K 3.10

Computed properties:
The distance to the lowest polymorph of the same formula comes out at 0.0 meV/atom. The calculation puts the spin magnetization at 2.82 μB per formula unit. The calculation puts the total DFT energy (no corrections) at -9.5 eV per cell. The formation energy is 1.503 eV per atom.

---

Entry 16:
Computed, not measured: crystalline Tb2Ga3Fe14C2 at its relaxed geometry at the PBE level of DFT.

Cell: 9.7485 8.5715 6.5191 Å, 90.00 98.66 90.00°
Closest atoms and distances in Å follow each position.
Space group C2/m (No. 12)
Asymmetric unit:
Tb1 0.1517 0.0000 0.3378 [4 per cell]  2 C 2.51
Ga1 0.0000 0.5000 0.5000 [2 per cell]  10 Fe 2.44-2.66
Ga2 0.2500 0.2500 0.0000 [4 per cell]  10 Fe 2.45-2.66
Fe1 0.0000 0.2052 0.0000 [4 per cell]  2 Ga 2.47, 6 Fe 2.51-2.62
Fe2 0.0916 0.5000 0.9047 [4 per cell]  1 Fe 2.32
Fe3 0.0990 0.2503 0.6549 [8 per cell]  1 C 1.91
Fe4 0.1420 0.3564 0.2853 [8 per cell]  1 C 1.86
Fe5 0.1552 0.0000 0.8457 [4 per cell]  2 Ga 2.49, 7 Fe 2.50-2.74
C1 0.2500 0.2500 0.5000 [4 per cell]  4 Fe 1.86-1.91

Computed properties:
The calculation puts the spin magnetization at 25.75 μB per formula unit. The calculation puts the total DFT energy (no corrections) at -316.6 eV per cell. The formation energy is -0.146 eV per atom.

---

Entry 17:
Computed, not measured: crystalline SiTcOs2 at its relaxed geometry at the PBE level of DFT.

Cell: 5.2763 8.6513 2.7726 Å, 90.00 115.43 90.00°
Closest atoms and distances in Å follow each position.
Space group C2/m (No. 12)
Asymmetric unit:
Si1 0.0000 0.0000 0.0000 [2 per cell]  4 Os 2.60, 4 Tc 2.64-2.89, 2 Si 2.77
Tc1 0.0000 0.5000 0.0000 [2 per cell]  4 Os 2.60, 4 Si 2.64-2.89, 2 Tc 2.77
Os1 0.2500 0.2500 0.5000 [4 per cell]  2 Tc 2.60, 2 Si 2.60, 6 Os 2.64-2.89

Computed properties:
The calculation puts the spin magnetization at 0.00 μB per formula unit. The calculation puts the total DFT energy (no corrections) at -73.7 eV per cell.

---

Entry 18:
Computed, not measured: crystalline BaSc3W at its relaxed geometry at the PBE level of DFT.

Cell: 5.3092 5.3092 5.3092 Å, 90.00 90.00 90.00°
Closest atoms and distances in Å follow each position.
Space group Pm-3m (No. 221)
Asymmetric unit:
Ba1 0.0000 0.0000 0.0000 [1 per cell]  12 Sc 3.75
Sc1 0.0000 0.5000 0.5000 [3 per cell]  2 W 2.65
W1 0.5000 0.5000 0.5000 [1 per cell]  6 Sc 2.65

Computed properties:
The distance to the lowest polymorph of the same formula comes out at 0.0 meV/atom. The calculation puts the spin magnetization at 0.00 μB per formula unit. The calculation puts the total DFT energy (no corrections) at -31.7 eV per cell. The formation energy is 0.441 eV per atom.

---

Entry 19:
Computed, not measured: crystalline BaZn at its relaxed geometry at the PBE level of DFT.

Cell: 6.9221 10.0787 16.3295 Å, 90.00 90.00 90.00°
Closest atoms and distances in Å follow each position.
Space group Fddd (No. 70, origin choice 2)
Asymmetric unit:
Ba1 0.1250 0.3095 0.1250 [16 per cell]  4 Zn 3.37-3.42, 3 Ba 3.70-3.72
Zn1 0.1250 0.1250 0.5472 [16 per cell]  1 Zn 2.54

Computed properties:
The calculation puts the spin magnetization at 0.00 μB per formula unit. The calculation puts the total DFT energy (no corrections) at -50.8 eV per cell. The formation energy is 0.012 eV per atom.

---

Entry 20:
Computed, not measured: crystalline MgCoBr at its relaxed geometry at the PBE level of DFT.

Cell: 4.7794 9.3671 5.4305 Å, 90.00 90.00 90.00°
Closest atoms and distances in Å follow each position.
Space group Pnma (No. 62)
Asymmetric unit:
Mg1 0.0008 0.2500 0.0954 [4 per cell]  4 Co 2.61-2.82
Co1 0.0008 0.2500 0.6156 [4 per cell]  2 Br 2.42, 3 Mg 2.61-2.65
Br1 0.0000 0.0000 0.5000 [4 per cell]  2 Co 2.42

Computed properties:
The distance to the lowest polymorph of the same formula comes out at 598.0 meV/atom. The calculation puts the spin magnetization at 1.13 μB per formula unit. The calculation puts the total DFT energy (no corrections) at -40.0 eV per cell.